Here is a relaxed TlPbSe2 crystal from Alexandria. Energies are from PBE-GGA.

* raw formation energy: -0.237 eV per atom

The structure in CIF format:
```
data_TlPbSe2
_space_group_name_H-M_alt 'P 1 2/m 1'
_space_group_IT_number 10
_space_group_name_Hall '-P 2y'
_cell_length_a 3.8976
_cell_length_b 3.8695
_cell_length_c 7.5553
_cell_angle_alpha 90.00
_cell_angle_beta 99.56
_cell_angle_gamma 90.00
loop_
_atom_site_label
_atom_site_type_symbol
_atom_site_fract_x
_atom_site_fract_y
_atom_site_fract_z
Tl1 Tl 0.0000 0.0000 0.0000
Pb1 Pb 0.0000 0.0000 0.5000
Se1 Se 0.3935 0.5000 0.2697
```

=====

Here is a relaxed CdCo2Rh crystal from Alexandria. Energies are from PBE-GGA.

* ΔE_f: 19.4 kJ/mol of atoms

The structure in CIF format:
```
data_CdCo2Rh
_space_group_name_H-M_alt 'C 1 m 1'
_space_group_IT_number 8
_space_group_name_Hall 'C -2y'
_cell_length_a 9.3813
_cell_length_b 2.8736
_cell_length_c 4.4958
_cell_angle_alpha 90.00
_cell_angle_beta 111.21
_cell_angle_gamma 90.00
loop_
_atom_site_label
_atom_site_type_symbol
_atom_site_fract_x
_atom_site_fract_y
_atom_site_fract_z
Cd1 Cd 0.0000 0.0000 0.0000
Co1 Co 0.0256 0.5000 0.5163
Co2 Co 0.2332 0.0000 0.7642
Rh1 Rh 0.2788 0.5000 0.3163
```

=====

Here is a relaxed CaPaRh4 crystal from Alexandria. Energies are from PBE-GGA.

* polymorph energy (0 for the lowest one): 0.000 eV per formula unit
* ΔE_f: -54.0 kJ/mol of atoms

The structure in CIF format:
```
data_CaPaRh4
_space_group_name_H-M_alt 'F -4 3 m'
_space_group_IT_number 216
_space_group_name_Hall 'F -4 2 3'
_cell_length_a 7.5329
_cell_length_b 7.5329
_cell_length_c 7.5329
_cell_angle_alpha 90.00
_cell_angle_beta 90.00
_cell_angle_gamma 90.00
loop_
_atom_site_label
_atom_site_type_symbol
_atom_site_fract_x
_atom_site_fract_y
_atom_site_fract_z
Ca1 Ca 0.0000 0.0000 0.0000
Pa1 Pa 0.2500 0.2500 0.7500
Rh1 Rh 0.1253 0.1253 0.3747
```

=====

Here is a relaxed Dy2CoSi crystal from Alexandria. Energies are from PBE-GGA.

* polymorph energy (0 for the lowest one): 0.048 eV per formula unit
* raw formation energy: -0.523 eV per atom

The structure in CIF format:
```
data_Dy2CoSi
_space_group_name_H-M_alt 'P 1 21/m 1'
_space_group_IT_number 11
_space_group_name_Hall '-P 2yb'
_cell_length_a 5.6157
_cell_length_b 4.0536
_cell_length_c 7.8766
_cell_angle_alpha 90.00
_cell_angle_beta 110.00
_cell_angle_gamma 90.00
loop_
_atom_site_label
_atom_site_type_symbol
_atom_site_fract_x
_atom_site_fract_y
_atom_site_fract_z
Dy1 Dy 0.1933 0.2500 0.4135
Dy2 Dy 0.2787 0.7500 0.0593
Co1 Co 0.1791 0.2500 0.7753
Si1 Si 0.3569 0.7500 0.7105
```

=====

Here is a relaxed Hf7Te2Pb crystal from Alexandria. Energies are from PBE-GGA.

* raw formation energy: 0.458 eV per atom

The structure in CIF format:
```
data_Hf7Te2Pb
_space_group_name_H-M_alt 'C m m m'
_space_group_IT_number 65
_space_group_name_Hall '-C 2 2'
_cell_length_a 8.0886
_cell_length_b 14.2082
_cell_length_c 4.8927
_cell_angle_alpha 90.00
_cell_angle_beta 90.00
_cell_angle_gamma 90.00
loop_
_atom_site_label
_atom_site_type_symbol
_atom_site_fract_x
_atom_site_fract_y
_atom_site_fract_z
Hf1 Hf 0.0000 0.0000 0.0000
Hf2 Hf 0.0000 0.2905 0.5000
Hf3 Hf 0.1792 0.3868 0.0000
Te1 Te 0.0000 0.1974 0.0000
Pb1 Pb 0.0000 0.5000 0.5000
```

=====

Here is a relaxed Nd6Ga5Ag crystal from Alexandria. Energies are from PBE-GGA.

* ΔE_f: -47.8 kJ/mol of atoms

The structure in CIF format:
```
data_Nd6Ga5Ag
_space_group_name_H-M_alt 'P 1 2/m 1'
_space_group_IT_number 10
_space_group_name_Hall '-P 2y'
_cell_length_a 5.2503
_cell_length_b 7.4395
_cell_length_c 8.2981
_cell_angle_alpha 90.00
_cell_angle_beta 108.31
_cell_angle_gamma 90.00
loop_
_atom_site_label
_atom_site_type_symbol
_atom_site_fract_x
_atom_site_fract_y
_atom_site_fract_z
Nd1 Nd 0.0000 0.2478 0.0000
Nd2 Nd 0.3318 0.2489 0.6644
Ga1 Ga 0.1629 0.5000 0.3254
Ga2 Ga 0.1662 0.0000 0.3310
Ga3 Ga 0.5000 0.0000 0.0000
Ag1 Ag 0.5000 0.5000 0.0000
```

=====

Here is a relaxed Th6Hg5Bi crystal from Alexandria. Energies are from PBE-GGA.

* ΔE_f: -25.2 kJ/mol of atoms

The structure in CIF format:
```
data_Th6Hg5Bi
_space_group_name_H-M_alt 'I m m m'
_space_group_IT_number 71
_space_group_name_Hall '-I 2 2'
_cell_length_a 4.9747
_cell_length_b 9.0902
_cell_length_c 14.8752
_cell_angle_alpha 90.00
_cell_angle_beta 90.00
_cell_angle_gamma 90.00
loop_
_atom_site_label
_atom_site_type_symbol
_atom_site_fract_x
_atom_site_fract_y
_atom_site_fract_z
Th1 Th 0.0000 0.2453 0.0000
Th2 Th 0.0000 0.2517 0.3325
Hg1 Hg 0.0000 0.0000 0.1669
Hg2 Hg 0.0000 0.5000 0.1720
Hg3 Hg 0.0000 0.5000 0.5000
Bi1 Bi 0.0000 0.0000 0.5000
```

=====

Here is a relaxed Tb4OsAu crystal from Alexandria. Energies are from PBE-GGA.

* polymorph energy (0 for the lowest one): 0.000 eV per formula unit
* ΔE_f: -42.2 kJ/mol of atoms

The structure in CIF format:
```
data_Tb4OsAu
_space_group_name_H-M_alt 'C 1 2/c 1'
_space_group_IT_number 15
_space_group_name_Hall '-C 2yc'
_cell_length_a 9.0249
_cell_length_b 13.1602
_cell_length_c 6.2841
_cell_angle_alpha 90.00
_cell_angle_beta 120.38
_cell_angle_gamma 90.00
loop_
_atom_site_label
_atom_site_type_symbol
_atom_site_fract_x
_atom_site_fract_y
_atom_site_fract_z
Tb1 Tb 0.1175 0.1737 0.0867
Tb2 Tb 0.2109 0.4331 0.2982
Os1 Os 0.0000 0.0017 0.7500
Au1 Au 0.0000 0.3683 0.7500
```

=====

Here is a relaxed CoCuP crystal from Alexandria. Energies are from PBE-GGA.

* ΔE_f: -19.9 kJ/mol of atoms

The structure in CIF format:
```
data_CoCuP
_space_group_name_H-M_alt 'F -4 3 m'
_space_group_IT_number 216
_space_group_name_Hall 'F -4 2 3'
_cell_length_a 5.3171
_cell_length_b 5.3171
_cell_length_c 5.3171
_cell_angle_alpha 90.00
_cell_angle_beta 90.00
_cell_angle_gamma 90.00
loop_
_atom_site_label
_atom_site_type_symbol
_atom_site_fract_x
_atom_site_fract_y
_atom_site_fract_z
Co1 Co 0.0000 0.0000 0.0000
Cu1 Cu 0.0000 0.0000 0.5000
P1 P 0.2500 0.2500 0.7500
```

=====

Here is a relaxed Zr2TiTl crystal from Alexandria. Energies are from PBE-GGA.

* polymorph energy (0 for the lowest one): 0.000 eV per formula unit
* ΔE_f: -4.5 kJ/mol of atoms

The structure in CIF format:
```
data_Zr2TiTl
_space_group_name_H-M_alt 'P 4/m m m'
_space_group_IT_number 123
_space_group_name_Hall '-P 4 2'
_cell_length_a 4.4007
_cell_length_b 4.4007
_cell_length_c 4.3780
_cell_angle_alpha 90.00
_cell_angle_beta 90.00
_cell_angle_gamma 90.00
loop_
_atom_site_label
_atom_site_type_symbol
_atom_site_fract_x
_atom_site_fract_y
_atom_site_fract_z
Zr1 Zr 0.0000 0.5000 0.0000
Ti1 Ti 0.0000 0.0000 0.5000
Tl1 Tl 0.5000 0.5000 0.5000
```

=====

Here is a relaxed KRbNaHg crystal from Alexandria. Energies are from PBE-GGA.

* polymorph energy (0 for the lowest one): 0.071 eV per formula unit
* ΔE_f: -8.5 kJ/mol of atoms

The structure in CIF format:
```
data_KRbNaHg
_space_group_name_H-M_alt 'F -4 3 m'
_space_group_IT_number 216
_space_group_name_Hall 'F -4 2 3'
_cell_length_a 9.1040
_cell_length_b 9.1040
_cell_length_c 9.1040
_cell_angle_alpha 90.00
_cell_angle_beta 90.00
_cell_angle_gamma 90.00
loop_
_atom_site_label
_atom_site_type_symbol
_atom_site_fract_x
_atom_site_fract_y
_atom_site_fract_z
K1 K 0.0000 0.0000 0.0000
Rb1 Rb 0.0000 0.0000 0.5000
Na1 Na 0.2500 0.2500 0.2500
Hg1 Hg 0.2500 0.2500 0.7500
```

=====

Here is a relaxed CrInFe2 crystal from Alexandria. Energies are from PBE-GGA.

* ΔE_f: 40.3 kJ/mol of atoms

The structure in CIF format:
```
data_CrInFe2
_space_group_name_H-M_alt 'C m m m'
_space_group_IT_number 65
_space_group_name_Hall '-C 2 2'
_cell_length_a 3.1838
_cell_length_b 4.3092
_cell_length_c 8.1782
_cell_angle_alpha 90.00
_cell_angle_beta 90.00
_cell_angle_gamma 90.00
loop_
_atom_site_label
_atom_site_type_symbol
_atom_site_fract_x
_atom_site_fract_y
_atom_site_fract_z
Cr1 Cr 0.0000 0.0000 0.0000
In1 In 0.0000 0.0000 0.5000
Fe1 Fe 0.0000 0.5000 0.2234
```

=====

Here is a relaxed Y2MgBiB crystal from Alexandria. Energies are from PBE-GGA.

* ΔE_f: -40.5 kJ/mol of atoms

The structure in CIF format:
```
data_Y2MgBiB
_space_group_name_H-M_alt 'P 4/m m m'
_space_group_IT_number 123
_space_group_name_Hall '-P 4 2'
_cell_length_a 5.1027
_cell_length_b 5.1027
_cell_length_c 4.5674
_cell_angle_alpha 90.00
_cell_angle_beta 90.00
_cell_angle_gamma 90.00
loop_
_atom_site_label
_atom_site_type_symbol
_atom_site_fract_x
_atom_site_fract_y
_atom_site_fract_z
Y1 Y 0.0000 0.5000 0.0000
Mg1 Mg 0.0000 0.0000 0.5000
Bi1 Bi 0.5000 0.5000 0.5000
B1 B 0.0000 0.0000 0.0000
```

=====

Here is a relaxed RbGaTe3 crystal from Alexandria. Energies are from PBE-GGA.

* polymorph energy (0 for the lowest one): 1.164 eV per formula unit
* raw formation energy: -0.328 eV per atom

The structure in CIF format:
```
data_RbGaTe3
_space_group_name_H-M_alt 'R -3 c'
_space_group_IT_number 167
_space_group_name_Hall '-R 3 2"c'
_cell_length_a 9.5993
_cell_length_b 9.5993
_cell_length_c 13.7038
_cell_angle_alpha 90.00
_cell_angle_beta 90.00
_cell_angle_gamma 120.00
loop_
_atom_site_label
_atom_site_type_symbol
_atom_site_fract_x
_atom_site_fract_y
_atom_site_fract_z
Rb1 Rb 0.0000 0.0000 0.0000
Ga1 Ga 0.0000 0.0000 0.2500
Te1 Te 0.0000 0.2638 0.2500
```

=====

Here is a relaxed K6AuO crystal from Alexandria. Energies are from PBE-GGA.

* polymorph energy (0 for the lowest one): 0.125 eV per formula unit
* raw formation energy: -0.446 eV per atom

The structure in CIF format:
```
data_K6AuO
_space_group_name_H-M_alt 'R -3 m'
_space_group_IT_number 166
_space_group_name_Hall '-R 3 2"'
_cell_length_a 12.3216
_cell_length_b 12.3216
_cell_length_c 8.5795
_cell_angle_alpha 90.00
_cell_angle_beta 90.00
_cell_angle_gamma 120.00
loop_
_atom_site_label
_atom_site_type_symbol
_atom_site_fract_x
_atom_site_fract_y
_atom_site_fract_z
K1 K 0.0986 0.1972 0.1832
Au1 Au 0.0000 0.0000 0.5000
O1 O 0.0000 0.0000 0.0000
```

=====

Here is a relaxed LaSmSbS crystal from Alexandria. Energies are from PBE-GGA.

* raw formation energy: -1.316 eV per atom

The structure in CIF format:
```
data_LaSmSbS
_space_group_name_H-M_alt 'R -3 m'
_space_group_IT_number 166
_space_group_name_Hall '-R 3 2"'
_cell_length_a 5.0632
_cell_length_b 5.0632
_cell_length_c 33.6415
_cell_angle_alpha 90.00
_cell_angle_beta 90.00
_cell_angle_gamma 120.00
loop_
_atom_site_label
_atom_site_type_symbol
_atom_site_fract_x
_atom_site_fract_y
_atom_site_fract_z
La1 La 0.0000 0.0000 0.2051
Sm1 Sm 0.0000 0.0000 0.3769
Sb1 Sb 0.0000 0.0000 0.0996
S1 S 0.0000 0.0000 0.2963
```

=====

Here is a relaxed Pm2NbH crystal from Alexandria. Energies are from PBE-GGA.

* E: -0.394 Ry/atom

The structure in CIF format:
```
data_Pm2NbH
_space_group_name_H-M_alt 'R -3 m'
_space_group_IT_number 166
_space_group_name_Hall '-R 3 2"'
_cell_length_a 3.2262
_cell_length_b 3.2262
_cell_length_c 27.6084
_cell_angle_alpha 90.00
_cell_angle_beta 90.00
_cell_angle_gamma 120.00
loop_
_atom_site_label
_atom_site_type_symbol
_atom_site_fract_x
_atom_site_fract_y
_atom_site_fract_z
Pm1 Pm 0.0000 0.0000 0.1086
Nb1 Nb 0.0000 0.0000 0.0000
H1 H 0.0000 0.0000 0.5000
```

=====

Here is a relaxed Co2CuNi crystal from Alexandria. Energies are from PBE-GGA.

* polymorph energy (0 for the lowest one): 0.224 eV per formula unit
* ΔE_f: 7.3 kJ/mol of atoms

The structure in CIF format:
```
data_Co2CuNi
_space_group_name_H-M_alt 'C 1 m 1'
_space_group_IT_number 8
_space_group_name_Hall 'C -2y'
_cell_length_a 8.2866
_cell_length_b 2.4774
_cell_length_c 4.4017
_cell_angle_alpha 90.00
_cell_angle_beta 99.21
_cell_angle_gamma 90.00
loop_
_atom_site_label
_atom_site_type_symbol
_atom_site_fract_x
_atom_site_fract_y
_atom_site_fract_z
Co1 Co 0.0000 0.0000 0.0000
Co2 Co 0.2489 0.5000 0.2320
Cu1 Cu 0.2470 0.0000 0.7343
Ni1 Ni 0.4948 0.0000 0.4899
```

=====

Here is a relaxed Th3Sn12Bi5 crystal from Alexandria. Energies are from PBE-GGA.

* ΔE_f: 13.8 kJ/mol of atoms

The structure in CIF format:
```
data_Th3Sn12Bi5
_space_group_name_H-M_alt 'I a -3 d'
_space_group_IT_number 230
_space_group_name_Hall '-I 4bd 2c 3'
_cell_length_a 18.1821
_cell_length_b 18.1821
_cell_length_c 18.1821
_cell_angle_alpha 90.00
_cell_angle_beta 90.00
_cell_angle_gamma 90.00
loop_
_atom_site_label
_atom_site_type_symbol
_atom_site_fract_x
_atom_site_fract_y
_atom_site_fract_z
Th1 Th 0.0000 0.2500 0.1250
Sn1 Sn 0.0122 0.0777 0.6549
Bi1 Bi 0.0000 0.0000 0.0000
Bi2 Bi 0.0000 0.2500 0.3750
```

=====

Here is a relaxed Ac2CdAs4Rh3 crystal from Alexandria. Energies are from PBE-GGA.

* ΔE_f: -79.4 kJ/mol of atoms

The structure in CIF format:
```
data_Ac2CdAs4Rh3
_space_group_name_H-M_alt 'P -4 m 2'
_space_group_IT_number 115
_space_group_name_Hall 'P -4 -2'
_cell_length_a 4.4553
_cell_length_b 4.4553
_cell_length_c 10.4862
_cell_angle_alpha 90.00
_cell_angle_beta 90.00
_cell_angle_gamma 90.00
loop_
_atom_site_label
_atom_site_type_symbol
_atom_site_fract_x
_atom_site_fract_y
_atom_site_fract_z
Ac1 Ac 0.0000 0.5000 0.2365
Cd1 Cd 0.0000 0.0000 0.5000
As1 As 0.0000 0.0000 0.0000
As2 As 0.0000 0.5000 0.6490
As3 As 0.5000 0.5000 0.0000
Rh1 Rh 0.0000 0.5000 0.8881
Rh2 Rh 0.5000 0.5000 0.5000
```